Computed, not measured: a geometry-optimized MgOsIO2 structure at the PBE-GGA level of DFT.

Summary:
ΔE to the lowest computed polymorph = 18.63 kcal/mol of atoms
Raw formation energy = 395 meV per atom
Crystal system = tetragonal
Magnetic moment = 0.904 μB/atom

Unit cell a=3.932 b=3.932 c=5.956 alpha=90.00 beta=90.00 gamma=90.00
Space group P4/mmm (No. 123)
Asymmetric unit:
Mg 0.000 0.000 0.000 (multiplicity 1)
Os 0.500 0.500 0.500 (multiplicity 1)
I 0.000 0.000 0.500 (multiplicity 1)
O 0.000 0.500 0.000 (multiplicity 2)